[1]
Entry from the Alexandria database: a relaxed structure of LiCa2Mg16 (PBE).

DOS(E_F) = 7.9 states/eV/cell
V = 477 Å³ per cell
energy of formation = -0.0275 eV per atom
total energy = -0.1236 Ry per atom

Cell lengths 7.8747, 7.8747, 7.8747 Å; angles 82.56, 82.56, 82.56 degrees
Fractional positions:
Mg1 0.6508 0.1582 0.6508
Mg2 0.8455 0.3477 0.3477
Mg3 0.9987 0.5030 0.9987
Mg4 0.9987 0.9987 0.5030
Mg5 0.5030 0.9987 0.9987
Mg6 0.3477 0.3477 0.8455
Mg7 0.0002 0.3019 0.6982
Ca1 0.6645 0.6645 0.6645
Mg8 0.3019 0.6982 0.0002
Mg9 0.6982 0.3019 0.0002
Mg10 0.1582 0.6508 0.6508
Ca2 0.3344 0.3344 0.3344
Mg11 0.0974 0.0974 0.0974
Mg12 0.3477 0.8455 0.3477
Mg13 0.6508 0.6508 0.1582
Mg14 0.6982 0.0002 0.3019
Mg15 0.3019 0.0002 0.6982
Li1 0.9019 0.9019 0.9019
Mg16 0.0002 0.6982 0.3019

=====

[2]
Entry from the Alexandria database: a relaxed structure of CaSc2P (PBE).

DOS(E_F) = 3.4 states/eV/cell
V = 109 Å³ per cell
energy of formation = -0.5430 eV per atom
total energy = -0.4088 Ry per atom

Cell lengths 9.7118, 9.7118, 9.7118 Å; angles 21.65, 21.65, 21.65 degrees
Fractional positions:
Sc1 0.1160 0.1160 0.1160
Sc2 0.8840 0.8840 0.8840
Ca1 0.0000 0.0000 0.0000
P1 0.5000 0.5000 0.5000

=====

[3]
Entry from the Alexandria database: a relaxed structure of K2TeRh (PBE).

DOS(E_F) = 5.1 states/eV/cell
uncorrected formation energy = 0.02 eV per atom
V = 105 Å³ per cell
total energy = -0.2317 Ry per atom

Cell lengths 5.2910, 5.2909, 5.2909 Å; angles 120.01, 120.01, 89.99 degrees
Site moments in Bohr magnetons follow the coordinates.
Fractional positions:
Te1 0.7500 0.2500 0.5000  0.06
K1 0.2500 0.7500 0.5000  0.01
Rh1 0.5000 0.5000 0.0000  0.67
K2 0.0000 0.0000 0.0000  0.00

=====

[4]
Entry from the Alexandria database: a relaxed structure of HoPuCdIr (PBE).

DOS(E_F) = 8.2 states/eV/cell
V = 91 Å³ per cell
energy of formation = -0.3169 eV per atom
total energy = -0.5504 Ry per atom

Cell lengths 5.0398, 5.0398, 5.0398 Å; angles 60.00, 60.00, 60.00 degrees
Site moments in Bohr magnetons follow the coordinates.
Fractional positions:
Ho1 0.2500 0.2500 0.2500  0.08
Ir1 0.0000 0.0000 0.0000  -0.26
Pu1 0.7500 0.7500 0.7500  5.19
Cd1 0.5000 0.5000 0.5000  0.01